[1]
The following is a DFT calculation (PBE) of an optimized crystal structure of FeSeBr2.

Unit cell a=8.6803 b=8.6803 c=8.6803 alpha=23.69 beta=23.69 gamma=23.69
With the nearest neighbours (Å) after each atom.
Element x y z (fractional)
Fe 0.4919 0.4919 0.4919  3 Se 2.48, 3 Br 2.55
Br 0.0196 0.0196 0.0196  3 Se 2.96
Br 0.2180 0.2180 0.2180  3 Fe 2.55
Se 0.7705 0.7705 0.7705  3 Fe 2.48

Computed properties:
Space-group type: R3m, No. 160
Magnetic moment: 0.4826 μB per atom
Formation energy from raw total energies: -77 meV per atom
ΔE to the lowest computed polymorph: 120 meV/atom

[2]
The following is a DFT calculation (PBE) of an optimized crystal structure of AcInC2O8.

Unit cell a=5.0822 b=5.0820 c=6.4895 alpha=66.93 beta=66.95 gamma=60.00
With the nearest neighbours (Å) after each atom.
Element x y z (fractional)
O 0.9053 0.4558 0.7337  1 C 1.41
O 0.3503 0.3504 0.9489  1 C 1.35
O 0.5445 0.0944 0.2663  1 C 1.41
O 0.0948 0.0944 0.2663  1 C 1.41
O 0.4555 0.9056 0.7337  1 C 1.41
O 0.0947 0.5442 0.2663  1 C 1.41
O 0.6497 0.6496 0.0511  1 C 1.35
O 0.9052 0.9056 0.7337  1 C 1.41
In 0.0000 0.0000 0.0000  6 O 2.23
C 0.2725 0.2723 0.1827  4 O 1.35-1.41
C 0.7275 0.7277 0.8173  4 O 1.35-1.41
Ac 0.5000 0.5000 0.5000  14 O 2.60-2.88

Computed properties:
Space-group type: R-3m, No. 166
Magnetic moment: 0.1667 μB per atom
Formation energy from raw total energies: -1534 meV per atom

[3]
The following is a DFT calculation (PBE) of an optimized crystal structure of Sm2YCo9.

Unit cell a=4.9965 b=4.9965 c=8.7205 alpha=73.35 beta=73.35 gamma=60.00
With the nearest neighbours (Å) after each atom.
Element x y z (fractional)
Co 0.3338 0.3338 0.9986  6 Co 2.43-2.45
Co 0.0805 0.5792 0.7611  7 Co 2.43-2.59
Co 0.4208 0.9195 0.2389  7 Co 2.43-2.59
Co 0.5792 0.5792 0.7611  7 Co 2.43-2.59
Co 0.9195 0.4208 0.2389  7 Co 2.43-2.59
Co 0.5792 0.0805 0.7611  7 Co 2.43-2.59
Co 0.6662 0.6662 0.0014  6 Co 2.43-2.45
Co 0.4208 0.4208 0.2389  7 Co 2.43-2.59
Co 0.5000 0.5000 0.5000  6 Co 2.59
Sm 0.8603 0.8603 0.4190  12 Co 2.90-3.17, 3 Sm 3.18
Sm 0.1397 0.1397 0.5810  12 Co 2.90-3.17, 3 Sm 3.18
Y 0.0000 0.0000 0.0000  18 Co 2.88-3.18

Computed properties:
Space-group type: R-3m, No. 166
Magnetic moment: 0.8648 μB per atom
Energy of formation: -0.114 eV per atom

[4]
The following is a DFT calculation (PBE) of an optimized crystal structure of NiOsC.

Unit cell a=5.9572 b=2.7768 c=8.5454 alpha=90.00 beta=111.84 gamma=90.00
With the nearest neighbours (Å) after each atom.
Element x y z (fractional)
Os 0.3074 0.5000 0.3312  1 C 2.13
Os 0.9083 0.0000 0.2803  3 C 2.04-2.16
Os 0.3074 0.0000 0.8312  1 C 2.13
Os 0.9083 0.5000 0.7803  3 C 2.04-2.16
Ni 0.1321 0.0000 0.0687  1 C 2.06
Ni 0.5190 0.0000 0.6101  2 C 1.93
Ni 0.5190 0.5000 0.1101  2 C 1.93
Ni 0.1321 0.5000 0.5687  1 C 2.06
C 0.6631 0.5000 0.5205  1 C 1.43
C 0.7791 0.0000 0.9013  1 C 1.43
C 0.6631 0.0000 0.0205  1 C 1.43
C 0.7791 0.5000 0.4013  1 C 1.43

Computed properties:
Space-group type: Cm, No. 8
Magnetic moment: 0.0000 μB per atom
Energy of formation: 0.473 eV per atom
ΔE to the lowest computed polymorph: 131 meV/atom

[5]
The following is a DFT calculation (PBE) of an optimized crystal structure of Cd5Sb3Pb2.

Unit cell a=4.6701 b=7.4180 c=16.2682 alpha=90.01 beta=92.28 gamma=90.00
With the nearest neighbours (Å) after each atom.
Element x y z (fractional)
Cd 0.9253 0.3586 0.4353  3 Sb 2.93-3.20, 2 Cd 2.99-3.02, 1 Pb 3.25
Cd 0.0298 0.6185 0.1063  4 Sb 3.02-3.23, 1 Pb 3.38
Cd 0.9112 0.7100 0.7292  4 Cd 3.02-3.26, 2 Sb 3.17-3.27
Cd 0.9702 0.1185 0.8936  4 Sb 3.02-3.23, 1 Pb 3.38
Cd 0.5370 0.9186 0.1981  2 Cd 2.92-3.26, 3 Sb 3.01-3.18
Cd 0.0888 0.2101 0.2709  4 Cd 3.02-3.26, 2 Sb 3.17-3.27
Cd 0.4629 0.4185 0.8019  2 Cd 2.92-3.26, 3 Sb 3.01-3.18
Cd 0.6217 0.0316 0.3694  4 Cd 2.92-3.19, 2 Sb 3.04-3.06
Cd 0.0748 0.8586 0.5647  3 Sb 2.93-3.20, 2 Cd 2.99-3.02, 1 Pb 3.25
Cd 0.3784 0.5316 0.6306  4 Cd 2.92-3.19, 2 Sb 3.04-3.06
Sb 0.5999 0.6860 0.4720  5 Cd 2.93-3.20, 1 Pb 3.21
Sb 0.0116 0.0276 0.0881  5 Cd 3.01-3.27, 2 Pb 3.29-3.32
Sb 0.5457 0.4910 0.2095  4 Cd 3.02-3.18, 2 Pb 3.15-3.26
Sb 0.4001 0.1860 0.5280  5 Cd 2.93-3.20, 1 Pb 3.21
Sb 0.9884 0.5276 0.9119  5 Cd 3.01-3.27, 2 Pb 3.29-3.32
Sb 0.4544 0.9909 0.7905  4 Cd 3.02-3.18, 2 Pb 3.15-3.26
Pb 0.1115 0.7044 0.3274  4 Sb 3.21-3.57, 4 Cd 3.25-3.45
Pb 0.4993 0.3185 0.0324  5 Sb 3.15-3.44, 2 Cd 3.38-3.51
Pb 0.5006 0.8186 0.9676  5 Sb 3.15-3.44, 2 Cd 3.38-3.51
Pb 0.8886 0.2044 0.6726  4 Sb 3.21-3.57, 4 Cd 3.25-3.45

Computed properties:
Space-group type: P2_1, No. 4
Magnetic moment: 0.0000 μB per atom
Formation energy from raw total energies: 29 meV per atom

[6]
The following is a DFT calculation (PBE) of an optimized crystal structure of La5NiGe2.

Unit cell a=4.5641 b=8.0342 c=12.5684 alpha=90.00 beta=90.00 gamma=90.00
With the nearest neighbours (Å) after each atom.
Element x y z (fractional)
Ge 0.5000 0.0618 0.3297  8 La 3.17-3.44
Ge 0.5000 0.9382 0.6703  8 La 3.17-3.44
Ge 0.5000 0.4382 0.8297  8 La 3.17-3.44
Ge 0.5000 0.5618 0.1703  8 La 3.17-3.44
La 0.5000 0.1790 0.0666  2 Ni 2.82
La 0.5000 0.8210 0.9334  2 Ni 2.82
La 0.0000 0.0000 0.5000  4 Ge 3.17, 4 La 3.54
La 0.0000 0.8386 0.2135  1 Ni 2.98, 4 Ge 3.23-3.25
La 0.0000 0.3386 0.2865  1 Ni 2.98, 4 Ge 3.23-3.25
La 0.0000 0.5000 0.0000  4 Ge 3.17, 4 La 3.54
La 0.0000 0.6614 0.7135  1 Ni 2.98, 4 Ge 3.23-3.25
La 0.5000 0.6790 0.4334  2 Ni 2.82
La 0.0000 0.1614 0.7865  1 Ni 2.98, 4 Ge 3.23-3.25
La 0.5000 0.3210 0.5666  2 Ni 2.82
Ni 0.0000 0.0000 0.0000  6 La 2.82-2.98
Ni 0.0000 0.5000 0.5000  6 La 2.82-2.98

Computed properties:
Space-group type: Pbam, No. 55
Magnetic moment: 0.0000 μB per atom
Energy of formation: -0.585 eV per atom

[7]
The following is a DFT calculation (PBE) of an optimized crystal structure of Na2ScMo.

Unit cell a=3.9081 b=3.9081 c=12.3240 alpha=80.88 beta=80.88 gamma=90.00
With the nearest neighbours (Å) after each atom.
Element x y z (fractional)
Sc 0.2500 0.7500 0.5000  4 Mo 2.76
Sc 0.5000 0.5000 0.0000  4 Mo 2.76
Na 0.3750 0.3670 0.7500  4 Na 2.72-2.81
Na 0.8750 0.8830 0.7500  4 Na 2.72-2.81
Na 0.6330 0.1250 0.2500  4 Na 2.72-2.81
Na 0.1170 0.6250 0.2500  4 Na 2.72-2.81
Mo 0.7500 0.2500 0.5000  4 Sc 2.76
Mo 0.0000 0.0000 0.0000  4 Sc 2.76

Computed properties:
Space-group type: I-42d, No. 122
Magnetic moment: 0.2706 μB per atom
Energy of formation: 0.857 eV per atom
ΔE to the lowest computed polymorph: 0 meV/atom

[8]
The following is a DFT calculation (PBE) of an optimized crystal structure of Er6GaSn2.

Unit cell a=4.2713 b=8.1665 c=8.1675 alpha=120.00 beta=90.00 gamma=90.00
With the nearest neighbours (Å) after each atom.
Element x y z (fractional)
Ga 0.5000 0.0000 0.0000  6 Er 2.94
Er 0.5000 0.0000 0.5963  4 Sn 3.28, 1 Ga 3.30, 6 Er 3.56-3.59
Er 0.0000 0.2474 0.0000  2 Ga 2.94, 2 Sn 3.13
Er 0.5000 0.5963 0.0000  4 Sn 3.28, 1 Ga 3.30, 6 Er 3.56-3.59
Er 0.0000 0.0000 0.2474  2 Ga 2.94, 2 Sn 3.13
Er 0.5000 0.4037 0.4037  4 Sn 3.28, 1 Ga 3.30, 6 Er 3.56-3.59
Er 0.0000 0.7526 0.7526  2 Ga 2.94, 2 Sn 3.13
Sn 0.0000 0.3333 0.6667  9 Er 3.13-3.28
Sn 0.0000 0.6667 0.3333  9 Er 3.13-3.28

Computed properties:
Space-group type: P-62m, No. 189
Magnetic moment: 0.4847 μB per atom
Energy of formation: -0.514 eV per atom